Crystalline TbZnNO at its relaxed geometry, computed with GGA-PBE.

Output
The energy above the most stable polymorph in this dataset is 0.29 eV per formula unit.

abc: 5.015 5.550 7.940
angles: 90.00 90.00 90.00
Atoms (fractional coordinates):
Tb 0.532 0.965 0.852
Tb 0.532 0.465 0.148
Tb 0.032 0.535 0.852
Tb 0.032 0.035 0.148
N 0.550 0.549 0.861
N 0.050 0.951 0.861
N 0.550 0.049 0.139
N 0.050 0.451 0.139
Zn 0.512 0.447 0.620
Zn 0.011 0.553 0.380
Zn 0.512 0.947 0.380
Zn 0.011 0.053 0.620
O 0.109 0.404 0.593
O 0.609 0.596 0.407
O 0.109 0.904 0.407
O 0.609 0.096 0.593

***

Crystalline LaAgGeTe2S at its relaxed geometry, computed with GGA-PBE.

Output
The total energy is -4.452 eV/atom.

abc: 7.711 7.711 10.697
angles: 90.00 90.00 147.78
Atoms (fractional coordinates):
Ag 0.018 0.982 0.750
Ag 0.982 0.018 0.250
Ge 0.275 0.725 0.250
Ge 0.725 0.275 0.750
Te 0.841 0.159 0.069
Te 0.159 0.841 0.931
Te 0.159 0.841 0.569
Te 0.841 0.159 0.431
S 0.576 0.424 0.250
S 0.424 0.576 0.750
La 0.500 0.500 0.500
La 0.500 0.500 0.000

***

Crystalline LaSm2In2Ni4 at its relaxed geometry, computed with GGA-PBE.

Output
The total energy is -5.091 eV/atom.

abc: 5.456 5.456 8.558
angles: 95.20 95.20 46.99
Atoms (fractional coordinates):
Ni 0.266 0.266 0.919
Ni 0.924 0.924 0.380
Ni 0.076 0.076 0.620
Ni 0.734 0.734 0.081
In 0.323 0.323 0.225
In 0.677 0.677 0.775
Sm 0.371 0.371 0.615
Sm 0.629 0.629 0.385
La 0.000 0.000 0.000

***

Crystalline NdSm2AuO6 at its relaxed geometry, computed with GGA-PBE.

Output
The total energy is -7.355 eV/atom.

abc: 3.790 5.657 6.978
angles: 91.37 103.78 91.00
Atoms (fractional coordinates):
Au 0.000 0.000 0.000
O 0.488 0.743 0.485
O 0.137 0.778 0.801
O 0.154 0.292 0.871
O 0.846 0.708 0.129
O 0.863 0.222 0.199
O 0.512 0.257 0.515
Sm 0.385 0.475 0.233
Sm 0.615 0.525 0.767
Nd 0.000 0.000 0.500

***

Looking at total magnetic moment for the records above, in order, we have 0.0 0.0 0.0 0.0 μB/cell.